Model one:
Computed, not measured: an optimized crystal structure of LiFeBPt at the GGA-PBE level of DFT.

Cell lengths 4.001, 4.001, 4.001 Å; angles 60.00, 60.00, 60.00 degrees
Positions (direct):
Li (0.250, 0.250, 0.250)
Fe (0.750, 0.750, 0.750)
B (0.000, 0.000, 0.000)
Pt (0.500, 0.500, 0.500)

As for the space-group type: F-43m (216). As for the mass density: 9.85 g/cm3.

Model two:
Computed, not measured: an optimized crystal structure of LiFeBPt at the GGA-PBE level of DFT.

Cell lengths 3.850, 3.850, 3.850 Å; angles 60.00, 60.00, 60.00 degrees
Positions (direct):
Pt (0.250, 0.250, 0.250)
B (0.000, 0.000, 0.000)
Li (0.500, 0.500, 0.500)
Fe (0.750, 0.750, 0.750)

As for the space-group type: F-43m (216). As for the mass density: 11.06 g/cm3.

Of the structures shown above, model one is the least stable.